1.
DFT (PBE-GGA) results for a relaxed structure of Y8TmMg2.

Cell: 8.691 8.691 8.452 Å, 114.70 114.70 36.00°
Sites, in units of the cell vectors:
Y1 0.058 0.058 0.235
Y2 0.147 0.147 0.703
Y3 0.312 0.312 0.547
Y4 0.399 0.399 0.029
Y5 0.601 0.601 0.971
Y6 0.688 0.688 0.453
Y7 0.853 0.853 0.297
Y8 0.942 0.942 0.765
Tm1 0.500 0.500 0.500
Mg1 0.227 0.227 0.129
Mg2 0.773 0.773 0.871

Values from the calculation:
Energy above the lowest structure with this stoichiometry   0.0 meV per atom
Density of states at the Fermi level   1.426 states/eV per atom
Magnetization   0.0 μB per formula unit
Calculated volume   30.64 Å³ per atom
Energy   -59.33 eV per formula unit
DFT formation energy   4 meV/atom

2.
DFT (PBE-GGA) results for a relaxed structure of Mg2IrRu.

Cell: 3.070 4.659 8.667 Å, 90.00 90.00 90.00°
Sites, in units of the cell vectors:
Mg1 0.000 0.000 0.249
Mg2 0.000 0.000 0.751
Mg3 0.500 0.500 0.249
Mg4 0.500 0.500 0.751
Ir1 0.000 0.500 0.000
Ir2 0.500 0.000 0.000
Ru1 0.000 0.500 0.500
Ru2 0.500 0.000 0.500

Values from the calculation:
Density of states at the Fermi level   0.949 states/eV per atom
Magnetization   0.3 μB per formula unit
Calculated volume   15.50 Å³ per atom
Energy   -21.40 eV per formula unit
DFT formation energy   -18 meV/atom